Entry 1:
Computed, not measured: an optimized crystal structure of TbY2Ho2Mg at the GGA-PBE level of DFT.

Computed properties:
As for the crystal system: orthorhombic.

a = 10.3904 Å, b = 11.6437 Å, c = 3.6067 Å
α = 90.00°, β = 90.00°, γ = 90.00°
Closest atoms and distances in Å follow each position.
Space group Pnnm (No. 58)
Unique sites:
1 Tb 0.0000 0.0000 0.0000 x2  4 Y 3.28, 4 Ho 3.31, 2 Tb 3.61
2 Y 0.2481 0.4289 0.0000 x4  2 Mg 3.25, 2 Tb 3.28, 2 Ho 3.43, 2 Y 3.61
3 Ho 0.0844 0.2256 0.5000 x4  2 Tb 3.31, 1 Mg 3.31, 2 Y 3.43, 2 Ho 3.61
4 Mg 0.0000 0.5000 0.5000 x2  4 Y 3.25, 2 Ho 3.31, 2 Mg 3.61

Entry 2:
Computed, not measured: an optimized crystal structure of Ho4Mg5Tc2 at the GGA-PBE level of DFT.

Computed properties:
As for the crystal system: monoclinic.

a = 7.8057 Å, b = 3.5838 Å, c = 9.8695 Å
α = 90.00°, β = 94.10°, γ = 90.00°
Closest atoms and distances in Å follow each position.
Space group P2/m (No. 10)
Unique sites:
1 Ho 0.1680 0.0000 0.3539 x2  2 Tc 2.78
2 Ho 0.2032 0.0000 0.9507 x2  4 Tc 2.87-2.92
3 Mg 0.1846 0.5000 0.6627 x2  1 Tc 2.85, 1 Mg 3.03
4 Mg 0.4402 0.5000 0.1762 x2  1 Tc 2.85
5 Mg 0.5000 0.5000 0.5000 x1  4 Mg 3.03-3.20, 4 Ho 3.39
6 Tc 0.0740 0.5000 0.1471 x2  6 Ho 2.78-2.92, 2 Mg 2.85, 1 Tc 3.05

Entry 3:
Computed, not measured: an optimized crystal structure of HoMgTc4 at the GGA-PBE level of DFT.

Computed properties:
As for the crystal system: cubic.

a = 7.5013 Å, b = 7.5013 Å, c = 7.5013 Å
α = 90.00°, β = 90.00°, γ = 90.00°
Closest atoms and distances in Å follow each position.
Space group F-43m (No. 216)
Unique sites:
1 Ho 0.0000 0.0000 0.0000 x4  12 Tc 3.11, 4 Mg 3.25
2 Mg 0.2500 0.2500 0.2500 x4  12 Tc 3.11, 4 Ho 3.25
3 Tc 0.1246 0.1246 0.6246 x16  6 Tc 2.64-2.66

Entry 4:
Computed, not measured: an optimized crystal structure of Ho6Mg2Tc at the GGA-PBE level of DFT.

Computed properties:
For the energy above the most stable polymorph in this dataset, the calculation gives 71.8 meV per atom. As for the crystal system: monoclinic.

a = 11.1432 Å, b = 5.0441 Å, c = 10.0356 Å
α = 90.00°, β = 121.61°, γ = 90.00°
Closest atoms and distances in Å follow each position.
Space group C2/m (No. 12)
Unique sites:
1 Ho 0.0647 0.0000 0.1870 x4  2 Tc 3.00, 2 Ho 3.24-3.35
2 Ho 0.1186 0.5000 0.4494 x4  7 Ho 3.29-3.58, 3 Mg 3.29-3.34
3 Ho 0.1795 0.5000 0.8943 x4  1 Tc 2.71
4 Mg 0.1751 0.0000 0.6944 x4  9 Ho 3.21-3.56, 1 Tc 3.30
5 Tc 0.0000 0.5000 0.0000 x2  6 Ho 2.71-3.00

| no. | formation energy from the elements (eV per atom) | final energy (eV per atom) | M_tot (μB per formula unit) |
| --- | --- | --- | --- |
| 1 | 0.488 | -4.230 | 0.000 |
| 2 | -0.017 | -4.291 | 0.000 |
| 3 | -0.018 | -7.957 | 0.000 |
| 4 | 0.054 | -4.504 | 0.000 |